1.
{"formula": "Tc2HgOsS", "functional": "PBE", "state": "optimized geometry", "lattice_angstrom": [[5.170, 0.000, 0.000], [0.000, 5.170, 0.000], [0.000, 0.000, 4.993]], "species": ["Tc", "Tc", "Hg", "Os", "S"], "frac_coords": [[0.000, 0.500, 0.000], [0.500, 0.000, 0.000], [0.000, 0.000, 0.000], [0.000, 0.000, 0.500], [0.500, 0.500, 0.500]], "formation_energy_uncorrected_ev_per_fu": 14.23, "de_polymorph_mev_per_atom": 0, "energy_ha_per_atom": -0.1629, "sg": "P4/mmm (123)", "dos_at_fermi_per_ev_cell": 5.7}


2.
{"formula": "VHgOs2S", "functional": "PBE", "state": "optimized geometry", "lattice_angstrom": [[4.392, 0.000, 0.000], [0.000, 4.392, 0.000], [0.000, 0.000, 4.288]], "species": ["V", "Hg", "Os", "Os", "S"], "frac_coords": [[0.000, 0.000, 0.000], [0.500, 0.500, 0.000], [0.000, 0.500, 0.500], [0.500, 0.000, 0.500], [0.000, 0.000, 0.500]], "formation_energy_uncorrected_ev_per_fu": 3.64, "energy_ha_per_atom": -0.2379, "sg": "P4/mmm (123)", "dos_at_fermi_per_ev_cell": 6.0}